one) This record from the Alexandria database describes a geometry-optimized CaCuI3 structure. The functional is PBE-GGA.

Output
As for the total moment: 0.0000 μB/atom. For the density of states at the Fermi level, the calculation gives 1.029 states/eV/f.u.

Unit cell a=5.494 b=5.494 c=5.494 alpha=90.00 beta=90.00 gamma=90.00
Fractional positions:
I1 0.000 0.500 0.000
I2 0.000 0.000 0.500
I3 0.500 0.000 0.000
Ca1 0.500 0.500 0.500
Cu1 0.000 0.000 0.000

---

two) This record from the Alexandria database describes a geometry-optimized CaCuI3 structure. The functional is PBE-GGA.

Output
As for the total moment: 0.0000 μB/atom. For the density of states at the Fermi level, the calculation gives 0.000 states/eV/f.u.

Unit cell a=7.861 b=10.478 c=10.478 alpha=78.79 beta=68.99 gamma=68.99
Fractional positions:
Ca1 0.750 0.906 0.094
Ca2 0.750 0.268 0.732
Ca3 0.250 0.732 0.268
Ca4 0.250 0.094 0.906
Cu1 0.595 0.401 0.243
Cu2 0.095 0.243 0.401
Cu3 0.905 0.757 0.599
Cu4 0.405 0.599 0.757
I1 0.798 0.206 0.037
I2 0.298 0.037 0.206
I3 0.695 0.621 0.130
I4 0.743 0.277 0.437
I5 0.195 0.130 0.621
I6 0.243 0.437 0.277
I7 0.757 0.563 0.723
I8 0.805 0.870 0.379
I9 0.257 0.723 0.563
I10 0.305 0.379 0.870
I11 0.702 0.963 0.794
I12 0.202 0.794 0.963

---

three) This record from the Alexandria database describes a geometry-optimized CaCuI3 structure. The functional is PBE-GGA.

Output
As for the total moment: 0.0000 μB/atom. For the density of states at the Fermi level, the calculation gives 0.277 states/eV/f.u.

Unit cell a=6.076 b=6.076 c=6.076 alpha=90.00 beta=90.00 gamma=90.00
Fractional positions:
I1 0.000 0.500 0.000
I2 0.000 0.000 0.500
I3 0.500 0.000 0.000
Ca1 0.000 0.000 0.000
Cu1 0.500 0.500 0.500

---

Name the most stable of them. two).

---

one) This record from the Alexandria database describes a geometry-optimized Ca2CuI structure. The functional is PBE-GGA.

Output
As for the total moment: 0.0000 μB/atom. For the density of states at the Fermi level, the calculation gives 2.116 states/eV/f.u.

Unit cell a=4.253 b=4.253 c=8.294 alpha=75.14 beta=75.14 gamma=60.00
Fractional positions:
Ca1 0.066 0.066 0.803
Ca2 0.268 0.268 0.196
Cu1 0.667 0.667 0.998
I1 0.499 0.499 0.504

---

two) This record from the Alexandria database describes a geometry-optimized Ca2CuI structure. The functional is PBE-GGA.

Output
As for the total moment: 0.0000 μB/atom. For the density of states at the Fermi level, the calculation gives 0.437 states/eV/f.u.

Unit cell a=8.112 b=8.112 c=6.972 alpha=54.43 beta=54.43 gamma=90.00
Fractional positions:
I1 0.000 0.000 0.000
I2 0.750 0.250 0.500
Ca1 0.587 0.125 0.250
Ca2 0.163 0.625 0.250
Ca3 0.375 0.413 0.750
Ca4 0.875 0.837 0.750
Cu1 0.500 0.500 0.000
Cu2 0.250 0.750 0.500

---

three) This record from the Alexandria database describes a geometry-optimized Ca2CuI structure. The functional is PBE-GGA.

Output
As for the total moment: 0.0000 μB/atom. For the density of states at the Fermi level, the calculation gives 5.387 states/eV/f.u.

Unit cell a=5.444 b=5.444 c=5.444 alpha=60.00 beta=60.00 gamma=60.00
Fractional positions:
I1 0.500 0.500 0.500
Ca1 0.250 0.250 0.250
Ca2 0.750 0.750 0.750
Cu1 0.000 0.000 0.000

---

Name the most stable of them. one).

---

one) This record from the Alexandria database describes a geometry-optimized CaCuIN2 structure. The functional is PBE-GGA.

Output
As for the total moment: 0.5381 μB/atom. For the density of states at the Fermi level, the calculation gives 2.943 states/eV/f.u.

Unit cell a=4.146 b=4.146 c=5.387 alpha=90.00 beta=90.00 gamma=90.00
Fractional positions:
I1 0.000 0.000 0.500
Ca1 0.500 0.500 0.500
Cu1 0.000 0.000 0.000
N1 0.000 0.500 0.000
N2 0.500 0.000 0.000

---

two) This record from the Alexandria database describes a geometry-optimized CaCuIN2 structure. The functional is PBE-GGA.

Output
As for the total moment: 0.8320 μB/atom. For the density of states at the Fermi level, the calculation gives 2.282 states/eV/f.u.

Unit cell a=4.543 b=4.543 c=6.487 alpha=90.00 beta=90.00 gamma=90.00
Fractional positions:
I1 0.000 0.000 0.500
Ca1 0.000 0.000 0.000
Cu1 0.500 0.500 0.500
N1 0.000 0.500 0.000
N2 0.500 0.000 0.000

---

Name the most stable of them. one).

---

one) This record from the Alexandria database describes a geometry-optimized CaCuI2N structure. The functional is PBE-GGA.

Output
As for the total moment: 0.3824 μB/atom. For the density of states at the Fermi level, the calculation gives 2.042 states/eV/f.u.

Unit cell a=5.750 b=5.750 c=3.791 alpha=90.00 beta=90.00 gamma=90.00
Fractional positions:
I1 0.000 0.500 0.000
I2 0.500 0.000 0.000
Ca1 0.500 0.500 0.500
Cu1 0.000 0.000 0.000
N1 0.000 0.000 0.500

---

two) This record from the Alexandria database describes a geometry-optimized CaCuI2N structure. The functional is PBE-GGA.

Output
As for the total moment: 0.4284 μB/atom. For the density of states at the Fermi level, the calculation gives 1.177 states/eV/f.u.

Unit cell a=6.105 b=6.105 c=4.630 alpha=90.00 beta=90.00 gamma=90.00
Fractional positions:
I1 0.000 0.500 0.000
I2 0.500 0.000 0.000
Ca1 0.000 0.000 0.000
Cu1 0.500 0.500 0.500
N1 0.000 0.000 0.500

---

Name the most stable of them. one).